(1)
VASP calculation (PBE) on a geometry-optimized Zr2ZnRh2 structure.

a = 7.7958 Å, b = 7.7958 Å, c = 3.1011 Å
α = 90.00°, β = 90.00°, γ = 90.00°
Closest atoms and distances in Å follow each position.
Sites, in units of the cell vectors:
1 Zn 0.0000 0.0000 0.0000  4 Zr 2.93, 2 Zn 3.10
2 Zn 0.5000 0.5000 0.0000  4 Zr 2.93, 2 Zn 3.10
3 Rh 0.1359 0.6359 0.5000  6 Zr 2.74-2.78, 1 Rh 3.00
4 Rh 0.6359 0.8641 0.5000  6 Zr 2.74-2.78, 1 Rh 3.00
5 Rh 0.8641 0.3641 0.5000  6 Zr 2.74-2.78, 1 Rh 3.00
6 Rh 0.3641 0.1359 0.5000  6 Zr 2.74-2.78, 1 Rh 3.00
7 Zr 0.3409 0.8409 0.0000  6 Rh 2.74-2.78, 2 Zn 2.93
8 Zr 0.8409 0.6591 0.0000  6 Rh 2.74-2.78, 2 Zn 2.93
9 Zr 0.6591 0.1591 0.0000  6 Rh 2.74-2.78, 2 Zn 2.93
10 Zr 0.1591 0.3409 0.0000  6 Rh 2.74-2.78, 2 Zn 2.93

Summary:
* D(E_F): 0.908 states/eV per atom
* DFT formation energy: -0.383 eV per atom
* E: -7.00 eV/atom
* theoretical density: 7.99 Mg/m³

***

(2)
VASP calculation (PBE) on a geometry-optimized Zr12Zn6Rh structure.

a = 7.2274 Å, b = 7.2274 Å, c = 7.2274 Å
α = 88.95°, β = 88.95°, γ = 88.95°
Closest atoms and distances in Å follow each position.
Sites, in units of the cell vectors:
1 Zr 0.8066 0.5230 0.4351  4 Zn 2.95-3.10, 5 Zr 2.98-3.18
2 Zr 0.4351 0.8066 0.5230  4 Zn 2.95-3.10, 5 Zr 2.98-3.18
3 Zr 0.5230 0.4351 0.8066  4 Zn 2.95-3.10, 5 Zr 2.98-3.18
4 Zr 0.1934 0.4770 0.5649  4 Zn 2.95-3.10, 5 Zr 2.98-3.18
5 Zr 0.5649 0.1934 0.4770  4 Zn 2.95-3.10, 5 Zr 2.98-3.18
6 Zr 0.4770 0.5649 0.1934  4 Zn 2.95-3.10, 5 Zr 2.98-3.18
7 Zr 0.0315 0.1466 0.3688  5 Zr 2.86-3.18, 1 Rh 2.90, 5 Zn 2.94-3.18
8 Zr 0.8534 0.6312 0.9685  5 Zr 2.86-3.18, 1 Rh 2.90, 5 Zn 2.94-3.18
9 Zr 0.6312 0.9685 0.8534  5 Zr 2.86-3.18, 1 Rh 2.90, 5 Zn 2.94-3.18
10 Zr 0.9685 0.8534 0.6312  5 Zr 2.86-3.18, 1 Rh 2.90, 5 Zn 2.94-3.18
11 Zr 0.1466 0.3688 0.0315  5 Zr 2.86-3.18, 1 Rh 2.90, 5 Zn 2.94-3.18
12 Zr 0.3688 0.0315 0.1466  5 Zr 2.86-3.18, 1 Rh 2.90, 5 Zn 2.94-3.18
13 Zn 0.7398 0.8900 0.2596  1 Rh 2.75, 2 Zn 2.87, 6 Zr 2.94-2.98
14 Zn 0.7404 0.2602 0.1100  1 Rh 2.75, 2 Zn 2.87, 6 Zr 2.94-2.98
15 Zn 0.1100 0.7404 0.2602  1 Rh 2.75, 2 Zn 2.87, 6 Zr 2.94-2.98
16 Zn 0.2602 0.1100 0.7404  1 Rh 2.75, 2 Zn 2.87, 6 Zr 2.94-2.98
17 Zn 0.2596 0.7398 0.8900  1 Rh 2.75, 2 Zn 2.87, 6 Zr 2.94-2.98
18 Zn 0.8900 0.2596 0.7398  1 Rh 2.75, 2 Zn 2.87, 6 Zr 2.94-2.98
19 Rh 0.0000 0.0000 0.0000  6 Zn 2.75, 6 Zr 2.90

Summary:
* D(E_F): 1.051 states/eV per atom
* DFT formation energy: -0.138 eV per atom
* E: -6.33 eV/atom
* theoretical density: 7.00 Mg/m³

***

(3)
VASP calculation (PBE) on a geometry-optimized Zr11Zn9Rh4 structure.

a = 3.3347 Å, b = 12.0640 Å, c = 12.0640 Å
α = 112.98°, β = 90.00°, γ = 90.00°
Closest atoms and distances in Å follow each position.
Sites, in units of the cell vectors:
1 Zr 0.0000 0.5921 0.9378  2 Rh 2.66, 2 Zn 2.93
2 Zr 0.0000 0.4079 0.0622  2 Rh 2.66, 2 Zn 2.93
3 Zr 0.0000 0.9378 0.5921  2 Rh 2.66, 2 Zn 2.93
4 Zr 0.0000 0.0622 0.4079  2 Rh 2.66, 2 Zn 2.93
5 Zr 0.0000 0.6358 0.3642  4 Rh 2.73, 4 Zn 2.99
6 Zr 0.0000 0.3642 0.6358  4 Rh 2.73, 4 Zn 2.99
7 Zr 0.0000 0.8365 0.1635  8 Zn 2.95-3.10, 3 Zr 3.14-3.29
8 Zr 0.0000 0.1635 0.8365  8 Zn 2.95-3.10, 3 Zr 3.14-3.29
9 Zr 0.0000 0.0000 0.0000  8 Zn 2.88
10 Zr 0.0000 0.7059 0.7059  4 Rh 2.72, 4 Zn 3.03
11 Zr 0.0000 0.2941 0.2941  4 Rh 2.72, 4 Zn 3.03
12 Zn 0.5000 0.6327 0.1575  1 Zn 2.80, 1 Rh 2.82, 8 Zr 2.95-3.01
13 Zn 0.5000 0.3673 0.8425  1 Zn 2.80, 1 Rh 2.82, 8 Zr 2.95-3.01
14 Zn 0.5000 0.1575 0.6327  1 Zn 2.80, 1 Rh 2.82, 8 Zr 2.95-3.01
15 Zn 0.5000 0.8425 0.3673  1 Zn 2.80, 1 Rh 2.82, 8 Zr 2.95-3.01
16 Zn 0.5000 0.7895 0.9331  1 Rh 2.83, 8 Zr 2.88-3.10, 1 Zn 2.89
17 Zn 0.5000 0.2105 0.0669  1 Rh 2.83, 8 Zr 2.88-3.10, 1 Zn 2.89
18 Zn 0.5000 0.9331 0.7895  1 Rh 2.83, 8 Zr 2.88-3.10, 1 Zn 2.89
19 Zn 0.5000 0.0669 0.2105  1 Rh 2.83, 8 Zr 2.88-3.10, 1 Zn 2.89
20 Zn 0.5000 0.5000 0.5000  4 Rh 2.88, 8 Zr 3.20-3.21
21 Rh 0.5000 0.5527 0.7547  6 Zr 2.66-2.73, 3 Zn 2.82-2.88
22 Rh 0.5000 0.4473 0.2453  6 Zr 2.66-2.73, 3 Zn 2.82-2.88
23 Rh 0.5000 0.7547 0.5527  6 Zr 2.66-2.73, 3 Zn 2.82-2.88
24 Rh 0.5000 0.2453 0.4473  6 Zr 2.66-2.73, 3 Zn 2.82-2.88

Summary:
* D(E_F): 0.750 states/eV per atom
* DFT formation energy: -0.448 eV per atom
* E: -6.07 eV/atom
* theoretical density: 7.45 Mg/m³

***

(4)
VASP calculation (PBE) on a geometry-optimized ZrZn2Rh structure.

a = 5.0200 Å, b = 5.0200 Å, c = 2.8970 Å
α = 90.05°, β = 90.05°, γ = 116.08°
Closest atoms and distances in Å follow each position.
Sites, in units of the cell vectors:
1 Rh 0.0000 0.5000 0.5000  2 Zr 2.66, 8 Zn 2.90, 2 Rh 2.90
2 Zn 0.0000 0.0000 0.0000  4 Zn 2.66-2.90, 4 Zr 2.90, 4 Rh 2.90
3 Zn 0.5000 0.5000 0.0000  4 Zn 2.66-2.90, 4 Rh 2.90, 4 Zr 2.90
4 Zr 0.5000 0.0000 0.5000  2 Rh 2.66, 8 Zn 2.90, 2 Zr 2.90

Summary:
* D(E_F): 0.835 states/eV per atom
* DFT formation energy: -0.227 eV per atom
* E: -4.84 eV/atom
* theoretical density: 8.23 Mg/m³

***

(5)
VASP calculation (PBE) on a geometry-optimized Zr2ZnRh structure.

a = 8.3021 Å, b = 8.3021 Å, c = 8.3021 Å
α = 23.32°, β = 23.32°, γ = 23.32°
Closest atoms and distances in Å follow each position.
Sites, in units of the cell vectors:
1 Rh 0.2500 0.2500 0.2500  6 Zr 2.71
2 Zn 0.7500 0.7500 0.7500  6 Zr 2.88
3 Zr 0.9952 0.9952 0.9952  3 Rh 2.71, 3 Zn 2.88
4 Zr 0.5048 0.5048 0.5048  3 Rh 2.71, 3 Zn 2.88

Summary:
* D(E_F): 0.917 states/eV per atom
* DFT formation energy: -0.261 eV per atom
* E: -6.69 eV/atom
* theoretical density: 7.40 Mg/m³

***

(6)
VASP calculation (PBE) on a geometry-optimized Zr5ZnRh structure.

a = 5.6230 Å, b = 5.6230 Å, c = 9.3988 Å
α = 93.36°, β = 93.36°, γ = 92.22°
Closest atoms and distances in Å follow each position.
Sites, in units of the cell vectors:
1 Zr 0.0232 0.6181 0.1651  1 Rh 2.72, 1 Zn 2.86, 1 Zr 2.95
2 Zr 0.2364 0.4575 0.4947  2 Zr 2.73-2.98, 2 Zn 2.74-2.82, 1 Rh 2.85
3 Zr 0.6181 0.0232 0.6651  1 Rh 2.72, 1 Zn 2.86, 1 Zr 2.95
4 Zr 0.8536 0.1464 0.2500  2 Rh 2.63, 1 Zn 2.88
5 Zr 0.5425 0.7636 0.0053  2 Zr 2.73-2.98, 2 Zn 2.74-2.82, 1 Rh 2.85
6 Zr 0.4575 0.2364 0.9947  2 Zr 2.73-2.98, 2 Zn 2.74-2.82, 1 Rh 2.85
7 Zr 0.1464 0.8536 0.7500  2 Rh 2.63, 1 Zn 2.88
8 Zr 0.3819 0.9768 0.3349  1 Rh 2.72, 1 Zn 2.86, 1 Zr 2.95
9 Zr 0.7636 0.5425 0.5053  2 Zr 2.73-2.98, 2 Zn 2.74-2.82, 1 Rh 2.85
10 Zr 0.9768 0.3819 0.8349  1 Rh 2.72, 1 Zn 2.86, 1 Zr 2.95
11 Zn 0.4988 0.5012 0.2500  7 Zr 2.74-2.88
12 Zn 0.5012 0.4988 0.7500  7 Zr 2.74-2.88
13 Rh 0.0000 0.0000 0.0000  6 Zr 2.63-2.85
14 Rh 0.0000 0.0000 0.5000  6 Zr 2.63-2.85

Summary:
* D(E_F): 0.970 states/eV per atom
* DFT formation energy: -0.141 eV per atom
* E: -7.48 eV/atom
* theoretical density: 7.01 Mg/m³